Record 1
Rb2SbAuF6: optimized geometry, PBE.

Output
DOS(E_F) in states/eV per cell: 0.00
VASP energy in eV/cell: -41.6

Unit cell a=6.933 b=6.933 c=6.576 alpha=58.19 beta=58.19 gamma=90.00
Element x y z (fractional)
Sb  0.500  0.500  0.000
Au  0.000  0.000  0.000
Rb  0.750  0.250  0.500
Rb  0.250  0.750  0.500
F  0.246  0.246  0.508
F  0.754  0.754  0.492
F  0.280  0.280  0.000
F  0.720  0.720  0.000
F  0.720  0.280  0.000
F  0.280  0.720  0.000

Record 2
PmTl2Cu: optimized geometry, PBE.

Output
Polymorph energy (0 for the lowest one) in meV/atom: 0
DOS(E_F) in states/eV per cell: 3.20
ΔE_f in eV per atom: -0.230

Unit cell a=4.762 b=4.762 c=9.127 alpha=105.12 beta=105.12 gamma=90.00
Element x y z (fractional)
Pm  0.140  0.140  0.279
Pm  0.860  0.860  0.721
Tl  0.000  0.500  0.000
Tl  0.500  0.000  0.000
Tl  0.345  0.345  0.690
Tl  0.655  0.655  0.310
Cu  0.250  0.750  0.500
Cu  0.750  0.250  0.500

Record 3
IrRu3F: optimized geometry, PBE.

Output
Polymorph energy (0 for the lowest one) in meV/atom: 667
DOS(E_F) in states/eV per cell: 7.68

Unit cell a=4.748 b=4.748 c=4.748 alpha=90.00 beta=90.00 gamma=90.00
Element x y z (fractional)
Ru  0.000  0.500  0.000
Ru  0.000  0.000  0.500
Ru  0.500  0.000  0.000
Ir  0.000  0.000  0.000
F  0.500  0.500  0.500

Record 4
ScFe2Pb: optimized geometry, PBE.

Output
DOS(E_F) in states/eV per cell: 2.23
ΔE_f in eV per atom: 0.081

Unit cell a=5.282 b=5.282 c=4.487 alpha=64.92 beta=64.92 gamma=38.00
Element x y z (fractional)
Fe  0.966  0.966  0.034
Fe  0.275  0.275  0.225
Pb  0.518  0.518  0.482
Sc  0.741  0.741  0.759

Record 5
Mg3Br: optimized geometry, PBE.

Output
Polymorph energy (0 for the lowest one) in meV/atom: 165
DOS(E_F) in states/eV per cell: 1.63

Unit cell a=5.501 b=3.347 c=6.139 alpha=64.70 beta=90.00 gamma=90.00
Element x y z (fractional)
Br  0.000  0.000  0.000
Mg  0.500  0.954  0.756
Mg  0.000  0.500  0.500
Mg  0.500  0.046  0.244

Record 6
Ce2Pd6Rh: optimized geometry, PBE.

Output
DOS(E_F) in states/eV per cell: 7.46
ΔE_f in eV per atom: -0.605

Unit cell a=4.100 b=6.595 c=6.568 alpha=108.45 beta=108.19 gamma=90.00
Element x y z (fractional)
Ce  0.940  0.194  0.881
Ce  0.060  0.806  0.119
Pd  0.387  0.831  0.775
Pd  0.613  0.169  0.225
Pd  0.725  0.830  0.451
Pd  0.172  0.498  0.343
Pd  0.275  0.170  0.549
Pd  0.828  0.502  0.657
Rh  0.500  0.500  0.000

Record 7
YMgPt2: optimized geometry, PBE.

Output
DOS(E_F) in states/eV per cell: 1.43
ΔE_f in eV per atom: -1.026

Unit cell a=3.469 b=3.423 c=7.216 alpha=61.79 beta=90.00 gamma=90.00
Element x y z (fractional)
Y  0.500  0.250  0.250
Mg  0.500  0.750  0.750
Pt  0.000  0.022  0.977
Pt  0.000  0.478  0.523

Record 8
YNbBrF2: optimized geometry, PBE.

Output
Polymorph energy (0 for the lowest one) in meV/atom: 350
DOS(E_F) in states/eV per cell: 3.92

Unit cell a=4.165 b=6.640 c=4.165 alpha=90.00 beta=90.00 gamma=90.00
Element x y z (fractional)
Y  0.500  0.500  0.500
Nb  0.000  0.000  0.000
Br  0.000  0.500  0.000
F  0.000  0.000  0.500
F  0.500  0.000  0.000